An optimized crystal structure of HgPtSO, computed with PBE-GGA. Values from VASP.

Energy above the lowest structure with this stoichiometry ... 0.000 eV/atom
Final energy ... -3.9965 eV/atom

Structure (Quantum ESPRESSO input):
```
&SYSTEM
  ibrav = 0, nat = 8, ntyp = 4
/
ATOMIC_SPECIES
Hg 200.59 Hg.upf
O 16.00 O.upf
Pt 195.08 Pt.upf
S 32.06 S.upf
CELL_PARAMETERS angstrom
-3.271 2.226 -0.963
-0.554 -2.260 -3.342
-6.259 -6.767 5.614
ATOMIC_POSITIONS crystal
Hg 0.750 0.750 0.452
Hg 0.250 0.250 0.548
O 0.250 0.250 0.263
O 0.750 0.750 0.737
Pt 0.750 0.250 0.000
Pt 0.250 0.750 0.000
S 0.250 0.250 0.124
S 0.750 0.750 0.876
```